w.
The following is a GGA-PBEsol calculation of an optimized crystal structure of MnFe2Mo, from Alexandria.

Cell and atoms, written as extended XYZ:
```
4
Lattice="-0.4068 -0.6231 2.4086 3.8776 -1.0509 0.3831 1.2241 4.6413 0.3416" Properties=species:S:1:pos:R:3 pbc="T T T"
Fe 0.6286 3.0703 2.0599
Fe 0.1887 0.9478 0.6903
Mn 1.7354 -0.8370 1.3959
Mo 2.5508 1.7952 0.3624
```

Results
D(E_F) in states/eV per cell: 4.4

***

x.
The following is a GGA-PBEsol calculation of an optimized crystal structure of MnFe2Mo, from Alexandria.

Cell and atoms, written as extended XYZ:
```
4
Lattice="3.0172 0.0000 0.0000 0.0000 3.9679 0.0000 0.0000 0.0000 3.9679" Properties=species:S:1:pos:R:3 pbc="T T T"
Fe 0.0000 0.0000 1.9840
Fe 0.0000 1.9840 0.0000
Mn 1.5086 1.9840 1.9840
Mo 1.5086 0.0000 0.0000
```

Results
D(E_F) in states/eV per cell: 2.7

***

Referenced to the most stable arrangement, the calculated values in meV per atom are w 19; x 0.